Compound: K2ScVO5
Source: Alexandria via LeMat-Bulk
Functional: GGA+U
Structure: relaxed

```
18
Lattice="3.3376 0.0000 0.0000 -1.6688 6.2465 0.0000 0.0000 0.0000 13.1619" Properties=species:S:1:pos:R:3 pbc="T T T"
K 1.6688 4.0211 10.4770
K 0.0000 0.8930 8.8321
K 0.0000 2.2254 3.8961
K 1.6688 5.3535 2.2511
Sc 1.6688 3.4773 7.0367
Sc 0.0000 2.7692 0.4557
V 1.6688 0.2824 12.4097
V 0.0000 5.9641 5.8287
O 0.0000 4.8250 13.0787
O 1.6688 2.1779 12.2530
O 0.0000 6.1723 10.7497
O 0.0000 3.4444 8.3023
O 1.6688 5.6631 6.6776
O 1.6688 1.4216 6.4977
O 0.0000 4.0686 5.6720
O 1.6688 0.0742 4.1687
O 1.6688 2.8021 1.7213
O 0.0000 0.5834 0.0966
```

Summary:
- Space-group type: Cmc2_1
- Crystal system: orthorhombic
- Total magnetization: 0.00 μB/f.u.
- Final energy: -122.32 eV/cell